No. 1
A plane-wave DFT calculation with GGA-PBE was carried out for K2TcPbO6 after structural relaxation.

The space group is R-3 (No. 148, hexagonal axes) and the conventional cell measures 5.9918, 5.9918 and 14.4885 Å, with angles of 90.00, 90.00 and 120.00 degrees. The inequivalent atoms are K at (0.0000, 0.0000, 0.2491), Tc at (0.0000, 0.0000, 0.0000), Pb at (0.0000, 0.0000, 0.5000) and O at (0.0373, 0.4750, 0.7425).

As for the uncorrected formation energy: -1311 meV/atom. The density of states at the Fermi level comes out at 5.986 states/eV per cell. The total DFT energy (no corrections) comes out at -5.91 eV/atom.

=====

No. 2
A plane-wave DFT calculation with GGA-PBE was carried out for K2TePbO6 after structural relaxation.

The space group is R-3 (No. 148, hexagonal axes) and the conventional cell measures 5.9109, 5.9109 and 14.2634 Å, with angles of 90.00, 90.00 and 120.00 degrees. The inequivalent atoms are K at (0.0000, 0.0000, 0.2504), Te at (0.0000, 0.0000, 0.5000), Pb at (0.0000, 0.0000, 0.0000) and O at (0.0227, 0.5567, 0.2455).

As for the uncorrected formation energy: -1171 meV/atom. The density of states at the Fermi level comes out at 5.325 states/eV per cell. The total DFT energy (no corrections) comes out at -5.05 eV/atom.

=====

No. 3
A plane-wave DFT calculation with GGA-PBE was carried out for KTePbO6 after structural relaxation.

The space group is P-31c (No. 163) and the conventional cell measures 5.5775, 5.5775 and 11.8908 Å, with angles of 90.00, 90.00 and 120.00 degrees. The inequivalent atoms are K at (0.0000, 0.0000, 0.0000), Te at (0.3333, 0.6667, 0.2500), Pb at (0.3333, 0.6667, 0.7500) and O at (0.0332, 0.3971, 0.1542).

As for the uncorrected formation energy: -959 meV/atom. The density of states at the Fermi level comes out at 14.256 states/eV per cell. The total DFT energy (no corrections) comes out at -5.15 eV/atom.

=====

No. 4
A plane-wave DFT calculation with GGA-PBE was carried out for KTePb2O8 after structural relaxation.

The space group is P2/m (No. 10) and the conventional cell measures 4.639, 7.848 and 5.219 Å, with angles of 90.00, 90.07 and 90.00 degrees. The inequivalent atoms are K at (0.000, 0.000, 0.000), Te at (0.000, 0.500, 0.000), Pb at (0.500, 0.285, 0.500), O at (0.145, 0.000, 0.518), O at (0.202, 0.308, 0.158) and O at (0.266, 0.500, 0.696).

As for the uncorrected formation energy: -833 meV/atom. The density of states at the Fermi level comes out at 3.991 states/eV per cell. The total DFT energy (no corrections) comes out at -5.11 eV/atom.